Entry 1:
The following is a PBE calculation of a geometry-optimized MoRhW2 structure, from Alexandria via LeMat-Bulk.

POSCAR file:
```
MoRhW2
1.0
3.221 0.000 0.000
0.000 3.221 0.000
0.000 0.000 6.056
Mo Rh W
1 1 2
Cartesian
0.000 0.000 0.000 Mo
0.000 0.000 3.028 Rh
1.611 1.611 1.478 W
1.611 1.611 4.579 W
```

## Properties
Energy of formation: 0.15 eV/atom
E: -10.88 eV/atom
Energy above the lowest structure with this stoichiometry: 131.5 meV per atom

=====

Entry 2:
The following is a PBE calculation of a geometry-optimized MoRhW2 structure, from Alexandria via LeMat-Bulk.

POSCAR file:
```
MoRhW2
1.0
2.727 0.000 0.000
0.000 4.489 0.000
-0.734 0.000 5.135
Mo Rh W
1 1 2
Cartesian
0.000 0.000 0.000 Mo
1.443 2.245 1.255 Rh
0.100 2.245 3.813 W
1.082 0.000 2.589 W
```

## Properties
Energy of formation: 0.07 eV/atom
E: -10.95 eV/atom
Energy above the lowest structure with this stoichiometry: 56.8 meV per atom

=====

Entry 3:
The following is a PBE calculation of a geometry-optimized Mo3RhW structure, from Alexandria via LeMat-Bulk.

POSCAR file:
```
Mo3RhW
1.0
4.619 0.000 0.000
0.000 4.619 0.000
0.000 0.000 4.619
Mo Rh W
3 1 1
Cartesian
0.000 0.000 2.309 Mo
0.000 2.309 0.000 Mo
2.309 0.000 0.000 Mo
0.000 0.000 0.000 Rh
2.309 2.309 2.309 W
```

## Properties
Energy of formation: 1.94 eV/atom
E: -8.62 eV/atom
Energy above the lowest structure with this stoichiometry: 46.2 meV per atom

=====

Entry 4:
The following is a PBE calculation of a geometry-optimized MoRh2W structure, from Alexandria via LeMat-Bulk.

POSCAR file:
```
MoRh2W
1.0
9.109 0.000 0.000
0.000 2.770 0.000
-0.867 0.000 4.776
Mo Rh W
2 4 2
Cartesian
0.000 0.000 0.000 Mo
4.554 1.385 0.000 Mo
8.669 1.385 2.424 Rh
1.612 0.000 3.776 Rh
4.114 0.000 2.424 Rh
6.166 1.385 3.776 Rh
2.049 1.385 1.423 W
6.603 0.000 1.423 W
```

## Properties
Energy of formation: -0.10 eV/atom
E: -9.72 eV/atom
Energy above the lowest structure with this stoichiometry: 80.2 meV per atom

=====

Entry 5:
The following is a PBE calculation of a geometry-optimized Mo3RhW structure, from Alexandria via LeMat-Bulk.

POSCAR file:
```
Mo3RhW
1.0
4.682 0.000 0.000
0.000 4.682 0.000
0.000 0.000 4.682
Mo Rh W
3 1 1
Cartesian
0.000 0.000 2.341 Mo
0.000 2.341 0.000 Mo
2.341 0.000 0.000 Mo
2.341 2.341 2.341 Rh
0.000 0.000 0.000 W
```

## Properties
Energy of formation: 1.90 eV/atom
E: -8.66 eV/atom
Energy above the lowest structure with this stoichiometry: 0.0 meV per atom

=====

Entry 6:
The following is a PBE calculation of a geometry-optimized MoRh3W structure, from Alexandria via LeMat-Bulk.

POSCAR file:
```
MoRh3W
1.0
4.673 0.000 0.000
0.000 4.673 0.000
0.000 0.000 4.673
Mo Rh W
1 3 1
Cartesian
0.000 0.000 0.000 Mo
0.000 2.336 2.336 Rh
2.336 0.000 2.336 Rh
2.336 2.336 0.000 Rh
2.336 2.336 2.336 W
```

## Properties
Energy of formation: 1.45 eV/atom
E: -7.72 eV/atom
Energy above the lowest structure with this stoichiometry: 1147.3 meV per atom

=====

Entry 7:
The following is a PBE calculation of a geometry-optimized MoRh2W structure, from Alexandria via LeMat-Bulk.

POSCAR file:
```
MoRh2W
1.0
3.941 0.000 0.000
0.000 3.941 0.000
0.000 0.000 7.738
Mo Rh W
2 4 2
Cartesian
0.000 0.000 0.000 Mo
1.970 1.970 3.869 Mo
0.000 0.000 3.869 Rh
0.000 1.970 1.934 Rh
1.970 0.000 5.803 Rh
1.970 1.970 0.000 Rh
0.000 1.970 5.803 W
1.970 0.000 1.934 W
```

## Properties
Energy of formation: -0.05 eV/atom
E: -9.67 eV/atom
Energy above the lowest structure with this stoichiometry: 132.4 meV per atom

=====

Entry 8:
The following is a PBE calculation of a geometry-optimized MoRh2W structure, from Alexandria via LeMat-Bulk.

POSCAR file:
```
MoRh2W
1.0
2.753 0.000 0.000
0.000 2.753 0.000
0.000 0.000 7.879
Mo Rh W
1 2 1
Cartesian
0.000 0.000 0.000 Mo
1.377 1.377 1.986 Rh
1.377 1.377 5.894 Rh
0.000 0.000 3.940 W
```

## Properties
Energy of formation: -0.17 eV/atom
E: -9.79 eV/atom
Energy above the lowest structure with this stoichiometry: 10.1 meV per atom

=====

Entry 9:
The following is a PBE calculation of a geometry-optimized MoRh4W structure, from Alexandria via LeMat-Bulk.

POSCAR file:
```
MoRh4W
1.0
8.761 0.000 0.000
0.000 3.854 0.000
-1.717 0.000 5.217
Mo Rh W
2 8 2
Cartesian
0.000 0.000 0.000 Mo
4.381 1.927 0.000 Mo
0.877 1.927 1.737 Rh
0.014 1.927 4.342 Rh
2.650 0.000 0.875 Rh
1.787 0.000 3.480 Rh
5.258 0.000 1.737 Rh
4.395 0.000 4.342 Rh
7.031 1.927 0.875 Rh
6.167 1.927 3.480 Rh
-0.858 0.000 2.608 W
3.522 1.927 2.608 W
```

## Properties
Energy of formation: -0.18 eV/atom
E: -9.04 eV/atom
Energy above the lowest structure with this stoichiometry: 0.0 meV per atom

=====

Entry 10:
The following is a PBE calculation of a geometry-optimized Y3MoRh structure, from Alexandria via LeMat-Bulk.

POSCAR file:
```
Y3MoRh
1.0
5.295 0.000 0.000
0.000 5.295 0.000
0.000 0.000 5.295
Y Mo Rh
3 1 1
Cartesian
0.000 0.000 2.647 Y
0.000 2.647 0.000 Y
2.647 0.000 0.000 Y
2.647 2.647 2.647 Mo
0.000 0.000 0.000 Rh
```

## Properties
Energy of formation: 0.38 eV/atom
E: -7.14 eV/atom
Energy above the lowest structure with this stoichiometry: 0.0 meV per atom

=====

Entry 11:
The following is a PBE calculation of a geometry-optimized Y2Mo2Rh structure, from Alexandria via LeMat-Bulk.

POSCAR file:
```
Y2Mo2Rh
1.0
3.546 0.000 0.000
0.000 3.546 0.000
0.000 0.000 17.589
Y Mo Rh
4 4 2
Cartesian
0.000 0.000 1.670 Y
0.000 0.000 15.919 Y
1.773 1.773 7.125 Y
1.773 1.773 10.464 Y
0.000 1.773 4.397 Mo
0.000 1.773 13.192 Mo
1.773 0.000 4.397 Mo
1.773 0.000 13.192 Mo
0.000 0.000 8.794 Rh
1.773 1.773 0.000 Rh
```

## Properties
Energy of formation: 0.10 eV/atom
E: -8.29 eV/atom
Energy above the lowest structure with this stoichiometry: 0.0 meV per atom

=====

Entry 12:
The following is a PBE calculation of a geometry-optimized YMo3Rh structure, from Alexandria via LeMat-Bulk.

POSCAR file:
```
YMo3Rh
1.0
4.714 0.000 0.000
0.000 4.714 0.000
0.000 0.000 4.714
Y Mo Rh
1 3 1
Cartesian
0.000 0.000 0.000 Y
0.000 0.000 2.357 Mo
0.000 2.357 0.000 Mo
2.357 0.000 0.000 Mo
2.357 2.357 2.357 Rh
```

## Properties
Energy of formation: 2.59 eV/atom
E: -6.67 eV/atom
Energy above the lowest structure with this stoichiometry: 1436.1 meV per atom